KGaIrO6 | PBE-GGA | optimized geometry

Cell lengths 5.246, 5.246, 5.973 Å; angles 90.00, 90.00, 120.00 degrees
Fractional positions:
K1 0.000 0.000 0.000
Ga1 0.333 0.667 0.500
Ir1 0.667 0.333 0.500
O1 0.401 0.015 0.682
O2 0.401 0.386 0.318
O3 0.614 0.015 0.318
O4 0.614 0.599 0.682
O5 0.985 0.386 0.682
O6 0.985 0.599 0.318

Raw total energy (eV/f.u.): -51.65
Uncorrected formation energy (eV per atom): -0.9910